{
  "formula": "NdAlIn2",
  "functional": "PBE",
  "state": "relaxed",
  "lattice": [[-4.6149, -0.5605, 0.3751], [-2.4262, -1.8044, -3.5511], [-1.5676, -5.8437, 0.9775]],
  "species": ["In", "In", "Al", "Nd"],
  "frac_coords": [[0.2257, 0.2257, 0.3228], [0.7743, 0.7743, 0.6772], [0.5000, 0.5000, 0.5000], [0.0000, 0.0000, 0.0000]],
  "crystal_system": "trigonal",
  "formation_enthalpy_0k_mev_per_atom": -235.8,
  "e_tot_ry_per_atom": -0.274
}